{"formula": "LaPr3Er", "functional": "PBE-GGA", "state": "optimized geometry", "lattice": [[-6.205, -4.480, -2.992], [1.439, -5.325, -6.090], [1.213, -4.499, 4.220]], "species": ["La", "La", "Pr", "Pr", "Pr", "Pr", "Pr", "Pr", "Er", "Er"], "fractional_positions": [[0.202, 0.202, 0.250], [0.798, 0.798, 0.750], [0.598, 0.205, 0.250], [0.205, 0.598, 0.250], [0.795, 0.402, 0.750], [0.402, 0.795, 0.750], [0.000, 0.000, 0.000], [0.000, 0.000, 0.500], [0.662, 0.662, 0.250], [0.338, 0.338, 0.750]], "delta_e_f_mev_per_atom": 315, "volume_a3_per_atom": 36.98, "polymorph_energy_ev_per_atom": 0.143, "spacegroup": "No. 63", "dos_at_fermi_per_ev_cell": 8.3, "dft_energy_ev_per_atom": -4.451}